A plane-wave DFT calculation with meta-GGA SCAN was carried out for Zr4Br4O at its PBEsol-relaxed geometry.

The structure in CIF format:
```
data_Zr4Br4O
_cell_length_a 3.5479
_cell_length_b 3.5479
_cell_length_c 58.1315
_cell_angle_alpha 90.00
_cell_angle_beta 90.00
_cell_angle_gamma 120.00
_symmetry_space_group_name_H-M 'R 3 m'
_symmetry_Int_Tables_number 160
_symmetry_space_group_name_Hall 'R 3 -2"'
loop_
_atom_site_label
_atom_site_type_symbol
_atom_site_fract_x
_atom_site_fract_y
_atom_site_fract_z
Zr1 Zr 0.0000 0.0000 0.0000
Zr2 Zr 0.0000 0.0000 0.2073
Zr3 Zr 0.0000 0.0000 0.5009
Zr4 Zr 0.0000 0.0000 0.7089
Br1 Br 0.0000 0.0000 0.2999
Br2 Br 0.0000 0.0000 0.4076
Br3 Br 0.0000 0.0000 0.8026
Br4 Br 0.0000 0.0000 0.9057
O1 O 0.0000 0.0000 0.6724
```

Values from the calculation:
**E**: -24.616 eV per atom
**V**: 634 Å³ per cell